A geometry-optimized Tl2CoHAu structure, computed with PBE.

```
Tl2CoHAu
1.0
5.034 0.000 0.000
0.000 4.849 0.000
0.000 0.000 5.034
Tl Au Co H
2 1 1 1
Cartesian
0.000 0.000 2.517
2.517 0.000 0.000
0.000 2.425 0.000
0.000 0.000 0.000
2.517 2.425 2.517
```

Space-group type: P4/mmm
Uncorrected energy (eV/atom): -2.97

---

A geometry-optimized CdHPd3 structure, computed with PBE.

```
CdHPd3
1.0
-4.311 1.798 0.952
-1.705 -1.975 -3.990
-5.278 -8.157 3.445
H Pd Cd
2 6 2
Cartesian
-5.754 -1.287 0.247
-6.844 -5.161 2.631
-5.993 -7.621 -0.808
-7.677 -6.081 0.594
-5.524 -2.645 -2.027
-3.617 -2.254 -0.187
-3.336 -3.558 -2.510
-5.128 -6.619 1.217
0.000 0.000 0.000
-4.995 -5.111 -1.032
```

Space-group type: I-4m2
Uncorrected energy (eV/atom): -3.36

---

A geometry-optimized LaScPb2 structure, computed with PBE.

```
LaScPb2
1.0
5.505 0.000 0.000
2.752 4.767 0.000
2.752 1.589 4.495
Sc La Pb
1 1 2
Cartesian
8.257 4.767 3.371
5.505 3.178 2.247
0.000 0.000 0.000
2.752 1.589 1.124
```

Space-group type: F-43m
Formation energy from the elements (eV/f.u.): -0.17

---

A geometry-optimized Zr2TaAu structure, computed with PBE.

```
Zr2TaAu
1.0
5.470 -0.004 0.000
2.285 4.970 0.000
-3.877 -2.483 2.953
Ta Zr Au
1 2 1
Cartesian
2.735 -0.002 1.477
1.142 2.485 1.477
0.000 0.000 0.000
3.877 2.483 0.000
```

Space-group type: I-4m2
Formation energy from the elements (eV/f.u.): -0.52